Material: Ti2TeO
Method: DFT, GGA-PBE
State: optimized geometry

extended XYZ file:
```
4
Lattice="0.000 3.150 3.150 3.150 0.000 3.150 3.150 3.150 0.000" Properties=species:S:1:pos:R:3 pbc="T T T"
Te 3.150 3.150 3.150
Ti 4.724 4.724 4.724
Ti 1.575 1.575 1.575
O 0.000 0.000 0.000
```

The value obtained for the raw formation energy is -0.615 eV/atom. Its total energy is -26.35 eV per formula unit.